Entry 1:
4
Lattice="0.0000 4.2787 4.2787 4.2787 0.0000 4.2787 4.2787 4.2787 0.0000" Properties=species:S:1:pos:R:3 comment="Cs2CdAu, PBEsol geometry, DFT meta-GGA SCAN" n_ef_per_ev_cell=2.3 formation_energy_ev_per_atom=-0.140 mass_density_g_cm3=6.10 space_group="Fm-3m (225)" pbc="T T T"
Cs 2.1394 2.1394 2.1394
Cs 6.4181 6.4181 6.4181
Cd 0.0000 0.0000 0.0000
Au 4.2787 4.2787 4.2787

Entry 2:
5
Lattice="-2.3902 2.3902 5.7950 2.3902 -2.3902 5.7950 2.3902 2.3902 -5.7950" Properties=species:S:1:pos:R:3 comment="CsCd2Au2, PBEsol geometry, DFT meta-GGA SCAN" n_ef_per_ev_cell=1.5 formation_energy_ev_per_atom=-0.277 mass_density_g_cm3=9.42 space_group="I4/mmm (139)" pbc="T T T"
Cs 0.0000 0.0000 0.0000
Cd 2.3902 0.0000 2.8975
Cd 0.0000 2.3902 2.8975
Au 0.0000 0.0000 4.4201
Au 0.0000 0.0000 7.1699

Entry 3:
5
Lattice="-2.0740 2.0740 10.7828 2.0740 -2.0740 10.7828 2.0740 2.0740 -10.7828" Properties=species:S:1:pos:R:3 comment="Cs2Cd2Au, PBEsol geometry, DFT meta-GGA SCAN" n_ef_per_ev_cell=2.3 formation_energy_ev_per_atom=-0.172 mass_density_g_cm3=6.15 space_group="I4/mmm (139)" pbc="T T T"
Cs 0.0000 0.0000 2.0507
Cs 0.0000 0.0000 19.5150
Cd 2.0740 0.0000 5.3914
Cd 0.0000 2.0740 5.3914
Au 0.0000 0.0000 10.7828

Entry 4:
4
Lattice="3.2028 0.0000 0.0000 0.0000 3.2028 0.0000 0.0000 0.0000 6.3285" Properties=species:S:1:pos:R:3 comment="CdCuAu2, PBEsol geometry, DFT meta-GGA SCAN" n_ef_per_ev_cell=1.1 formation_energy_ev_per_atom=-0.080 mass_density_g_cm3=14.58 space_group="P4mm (99)" pbc="T T T"
Cd 0.0000 0.0000 0.0000
Cu 1.6014 1.6014 1.5544
Au 0.0000 0.0000 2.8854
Au 1.6014 1.6014 4.6113